Entry 1:
LaZr2Ru after structural relaxation, computed with PBE.

```
LaZr2Ru
1.0
-3.3715 2.3987 4.5750
-5.2327 -0.0697 3.2659
0.2246 -2.6072 4.5967
Zr La Ru
2 1 1
direct
0.4558 0.4558 0.5440 Zr
0.0442 0.0442 0.9560 Zr
0.2500 0.2500 0.2500 La
0.7500 0.7500 0.7500 Ru
```

Summary:
- energy of formation (eV per formula unit) = -0.43
- uncorrected energy (eV per formula unit) = -31.73
- space group = Immm, No. 71
- magnetization (μB per cell) = 0.00

Entry 2:
LaZr2Ru after structural relaxation, computed with PBE.

```
LaZr2Ru
1.0
9.7342 0.0074 0.0044
9.1549 3.3078 0.0044
9.1549 1.6068 2.8913
Zr Ru La
2 1 1
direct
0.2560 0.2560 0.2560 Zr
0.0112 0.0112 0.0112 Zr
0.7438 0.7438 0.7438 Ru
0.4889 0.4889 0.4889 La
```

Summary:
- energy of formation (eV per formula unit) = 0.29
- uncorrected energy (eV per formula unit) = -31.01
- space group = R3m, No. 160
- magnetization (μB per cell) = 0.00

Entry 3:
LaZr2Ru after structural relaxation, computed with PBE.

```
LaZr2Ru
1.0
-0.1885 2.9035 -1.5129
-4.5271 0.2882 1.1172
1.3759 2.6396 4.8945
Zr La Ru
2 1 1
direct
0.0000 0.0000 0.9789 Zr
0.0000 0.0000 0.5211 Zr
0.5000 0.5000 0.2500 La
0.5000 0.5000 0.7500 Ru
```

Summary:
- energy of formation (eV per formula unit) = 0.54
- uncorrected energy (eV per formula unit) = -30.76
- space group = Pmmm, No. 47
- magnetization (μB per cell) = 0.00

Entry 4:
LaZr2Ru after structural relaxation, computed with PBE.

```
LaZr2Ru
1.0
-0.1061 4.7838 -1.4225
0.0813 -1.4147 -4.7866
-3.5139 -1.7728 3.0707
Zr La Ru
2 1 1
direct
0.0000 0.0000 0.0000 Zr
0.2500 0.7500 0.5000 Zr
0.5000 0.5000 0.0000 La
0.7500 0.2500 0.5000 Ru
```

Summary:
- energy of formation (eV per formula unit) = 0.53
- uncorrected energy (eV per formula unit) = -30.77
- space group = F-43m, No. 216
- magnetization (μB per cell) = 0.81

Entry 5:
La3ZrRu after structural relaxation, computed with PBE.

```
La3ZrRu
1.0
5.4841 0.0000 0.0000
0.0000 5.4841 0.0000
0.0000 0.0000 5.4841
La Zr Ru
3 1 1
direct
0.5000 0.0000 0.0000 La
0.0000 0.5000 0.0000 La
0.0000 0.0000 0.5000 La
0.0000 0.0000 0.0000 Zr
0.5000 0.5000 0.5000 Ru
```

Summary:
- energy of formation (eV per formula unit) = 5.59
- uncorrected energy (eV per formula unit) = -27.02
- space group = Pm-3m, No. 221
- magnetization (μB per cell) = 0.00

Entry 6:
La3ZrRu after structural relaxation, computed with PBE.

```
La3ZrRu
1.0
-4.1060 1.9404 -3.1046
-3.3622 -3.8447 2.0437
-1.4489 3.4229 4.0556
Ru La Zr
1 3 1
direct
0.0000 0.0000 0.0000 Ru
0.0000 0.0000 0.5000 La
0.0000 0.5000 0.0000 La
0.5000 0.0000 0.0000 La
0.5000 0.5000 0.5000 Zr
```

Summary:
- energy of formation (eV per formula unit) = 0.95
- uncorrected energy (eV per formula unit) = -31.66
- space group = Pm-3m, No. 221
- magnetization (μB per cell) = 2.89

Entry 7:
LaZr2Ru after structural relaxation, computed with PBE.

```
LaZr2Ru
1.0
5.9890 0.0060 0.0060
2.7516 5.3194 -0.0060
-3.7698 -3.6483 2.8890
Ru Zr La
1 2 1
direct
0.2378 0.7378 0.5000 Ru
0.7492 0.2492 0.5000 Zr
0.0459 0.0459 0.0000 Zr
0.4671 0.4671 0.0000 La
```

Summary:
- energy of formation (eV per formula unit) = -0.26
- uncorrected energy (eV per formula unit) = -31.56
- space group = Imm2, No. 44
- magnetization (μB per cell) = 0.00

Entry 8:
LaZr2Ru after structural relaxation, computed with PBE.

```
LaZr2Ru
1.0
-0.2453 3.1831 4.6126
1.2393 -5.4456 0.8619
3.1266 0.2566 0.8876
La Ru Zr
1 1 2
direct
0.0000 0.5000 0.5000 La
0.5000 0.5000 0.0000 Ru
0.5000 0.0000 0.5000 Zr
0.0000 0.0000 0.0000 Zr
```

Summary:
- energy of formation (eV per formula unit) = 0.65
- uncorrected energy (eV per formula unit) = -30.65
- space group = C2/m, No. 12
- magnetization (μB per cell) = 0.00

Entry 9:
La2ZrRu after structural relaxation, computed with PBE.

```
La2ZrRu
1.0
-1.8468 3.4749 3.2627
-1.5449 -1.4338 4.6570
2.7170 1.3369 4.1184
Zr Ru La
1 1 2
direct
0.7500 0.7500 0.7500 Zr
0.5000 0.5000 0.5000 Ru
0.0000 0.0000 0.0000 La
0.2500 0.2500 0.2500 La
```

Summary:
- energy of formation (eV per formula unit) = 0.72
- uncorrected energy (eV per formula unit) = -26.96
- space group = F-43m, No. 216
- magnetization (μB per cell) = 0.01

Entry 10:
LaS8 after structural relaxation, computed with PBE.

```
LaS8
1.0
4.5414 0.0000 1.1833
2.2707 7.6535 0.5917
0.3409 0.0000 7.9979
La S
1 8
direct
0.0000 0.0000 0.0000 La
0.6123 0.0000 0.7754 S
0.0000 0.4072 0.5928 S
0.3877 0.0000 0.2246 S
0.0000 0.5928 0.4072 S
0.3877 0.2246 0.0000 S
0.6123 0.7754 0.0000 S
0.4072 0.5928 0.5928 S
0.5928 0.4072 0.4072 S
```

Summary:
- formation energy without anion corrections (eV/atom) = 0.1167
- uncorrected energy (eV per formula unit) = -36.90
- space group = I4/mmm, No. 139
- magnetization (μB per cell) = 0.96

Entry 11:
LaS after structural relaxation, computed with PBE.

```
LaS
1.0
-2.9895 -2.3401 5.2906
0.8261 -6.0669 -2.2166
5.7257 -0.3464 3.0821
S La
4 4
direct
0.7500 0.2500 0.7500 S
0.2500 0.7500 0.7500 S
0.7500 0.7500 0.2500 S
0.2500 0.2500 0.2500 S
0.0000 0.0000 0.0000 La
0.5000 0.5000 0.0000 La
0.0000 0.5000 0.5000 La
0.5000 0.0000 0.5000 La
```

Summary:
- formation energy without anion corrections (eV/atom) = -1.6418
- uncorrected energy (eV per formula unit) = -12.34
- space group = F-43m, No. 216
- magnetization (μB per cell) = 0.00

Entry 12:
LaS4 after structural relaxation, computed with PBE.

```
LaS4
1.0
3.9153 0.0000 1.8378
2.0583 5.1906 0.7044
-0.8975 -2.3063 7.0013
S La
4 1
direct
0.2070 0.3102 0.2759 S
0.5698 0.1003 0.7601 S
0.7930 0.6898 0.7241 S
0.4302 0.8997 0.2399 S
0.0000 0.0000 0.0000 La
```

Summary:
- formation energy without anion corrections (eV/atom) = -0.8961
- uncorrected energy (eV per formula unit) = -25.92
- space group = C2/m, No. 12
- magnetization (μB per cell) = 0.00

Entry 13:
La3S4 after structural relaxation, computed with PBE.

```
La3S4
1.0
7.5693 0.0000 0.0000
-2.5231 7.1364 0.0000
-2.5231 -3.5682 6.1803
S La
8 6
direct
0.1501 0.1501 0.1501 S
0.0000 0.3499 0.5000 S
0.5000 0.0000 0.3499 S
0.0000 0.8499 0.5000 S
0.5000 0.0000 0.8499 S
0.3499 0.5000 0.0000 S
0.8499 0.5000 0.0000 S
0.6501 0.6501 0.6501 S
0.6250 0.3750 0.2500 La
0.7500 0.8750 0.1250 La
0.8750 0.1250 0.7500 La
0.3750 0.2500 0.6250 La
0.1250 0.7500 0.8750 La
0.2500 0.6250 0.3750 La
```

Summary:
- formation energy without anion corrections (eV/atom) = -2.1696
- uncorrected energy (eV per formula unit) = -46.48
- space group = I-43d, No. 220
- magnetization (μB per cell) = 0.00

Entry 14:
La4S5 after structural relaxation, computed with PBE.

```
La4S5
1.0
3.7709 0.0021 0.0019
1.8795 8.1497 1.4437
1.8795 2.5045 7.8886
La S
4 5
direct
0.3722 0.5791 0.6767 La
0.6278 0.7543 0.9900 La
0.3722 0.0100 0.2457 La
0.6278 0.3233 0.4209 La
0.2459 0.4203 0.0870 S
0.0000 0.6667 0.3333 S
0.7541 0.9130 0.5797 S
0.0000 0.3152 0.6848 S
0.0000 0.0181 0.9819 S
```

Summary:
- formation energy without anion corrections (eV/atom) = -1.6590
- uncorrected energy (eV per formula unit) = -55.28
- space group = Immm, No. 71
- magnetization (μB per cell) = 0.00

Entry 15:
LaS after structural relaxation, computed with PBE.

```
LaS
1.0
3.5744 0.0000 0.0000
0.0000 3.5744 0.0000
0.0000 0.0000 3.5744
S La
1 1
direct
0.5000 0.5000 0.5000 S
0.0000 0.0000 0.0000 La
```

Summary:
- formation energy without anion corrections (eV/atom) = -1.8554
- uncorrected energy (eV per formula unit) = -12.77
- space group = Pm-3m, No. 221
- magnetization (μB per cell) = 0.00